Ce3GdO, relaxed, DFT GGA-PBE; size of the total moment = 7.156 μB/f.u.; formation energy from raw total energies = -1.070 eV per atom; symmetry = Pm-3m; energy = -8.44 eV/atom
1.0
4.938 0.000 0.000
0.000 4.938 0.000
0.000 0.000 4.938
Ce Gd O
3 1 1
Cartesian
0.000 0.000 2.469 Ce
0.000 2.469 0.000 Ce
2.469 0.000 0.000 Ce
2.469 2.469 2.469 Gd
0.000 0.000 0.000 O

=====

TlNiHg2, relaxed, DFT GGA-PBE; size of the total moment = 0.001 μB/f.u.; symmetry = Pmmm; energy = -2.00 eV/atom; formation energy = 0.19 eV/atom
1.0
3.143 0.000 0.000
0.000 3.169 0.000
0.000 0.000 8.779
Tl Ni Hg
1 1 2
Cartesian
0.000 0.000 0.000 Tl
0.000 0.000 4.390 Ni
1.572 1.585 2.747 Hg
1.572 1.585 6.032 Hg

=====

Ce6TeOs2, relaxed, DFT GGA-PBE; size of the total moment = 1.111 μB/f.u.; formation energy from raw total energies = -0.387 eV per atom; symmetry = C2/m; energy = -7.19 eV/atom
1.0
5.241 -2.361 0.000
5.241 2.361 0.000
-1.007 0.000 9.291
Ce Te Os
6 1 2
Cartesian
0.380 0.000 3.279 Ce
2.155 0.000 8.285 Ce
3.853 0.000 3.249 Ce
5.623 0.000 6.042 Ce
7.321 0.000 1.005 Ce
9.096 0.000 6.012 Ce
0.000 0.000 0.000 Te
2.126 0.000 5.708 Os
7.350 0.000 3.583 Os

=====

ThVPt, relaxed, DFT GGA-PBE; size of the total moment = 0.003 μB/f.u.; symmetry = Cmcm; energy = -8.02 eV/atom; formation energy = -0.49 eV/atom
1.0
2.225 -5.646 0.000
2.225 5.646 0.000
0.000 0.000 5.052
Th V Pt
2 2 2
Cartesian
2.225 3.361 3.789 Th
2.225 -3.361 1.263 Th
2.225 0.000 0.000 V
2.225 0.000 2.526 V
2.225 4.805 1.263 Pt
2.225 -4.805 3.789 Pt

=====

HfGaRu, relaxed, DFT GGA-PBE; size of the total moment = 0.000 μB/f.u.; symmetry = P3m1; energy = -7.89 eV/atom; formation energy = -0.47 eV/atom
1.0
4.356 0.000 0.000
-2.178 3.772 0.000
0.000 0.000 3.109
Hf Ga Ru
1 1 1
Cartesian
0.000 0.000 0.000 Hf
2.178 1.257 1.502 Ga
0.000 2.515 1.319 Ru

=====

ErTh2C2, relaxed, DFT GGA-PBE; size of the total moment = 0.001 μB/f.u.; symmetry = C2/m; energy = -7.83 eV/atom; formation energy = -0.26 eV/atom
1.0
5.847 -2.683 0.000
5.847 2.683 0.000
-2.549 0.000 6.870
Er Th C
2 4 4
Cartesian
1.600 0.000 0.629 Er
7.545 0.000 6.241 Er
0.454 0.000 4.009 Th
5.119 0.000 1.751 Th
4.025 0.000 5.119 Th
8.690 0.000 2.862 Th
-0.598 0.000 1.706 C
2.897 0.000 2.871 C
6.247 0.000 3.999 C
9.742 0.000 5.164 C